Record 1
Below is a geometry-optimized TmSc2Co structure, with properties calculated at the PBE-GGA level.

Structure (extended XYZ):
```
4
Lattice="2.443 1.410 3.922 -2.443 1.410 3.922 0.000 -2.821 3.922" Properties=species:S:1:pos:R:3 pbc="T T T"
Tm 0.000 0.000 0.000
Sc 0.000 0.000 2.975
Sc 0.000 0.000 8.790
Co 0.000 0.000 5.883
```

Output
- space group = No. 166
- ΔE to the lowest computed polymorph (eV per formula unit) = 1.62
- total energy (eV/atom) = -5.8666
- crystal system = trigonal
- Fermi-level density of states (states/eV/f.u.) = 5.07

=====

Record 2
Below is a geometry-optimized PmNdIn6 structure, with properties calculated at the PBE-GGA level.

Structure (extended XYZ):
```
8
Lattice="6.776 0.000 0.000 -3.388 5.868 0.000 0.000 0.000 5.260" Properties=species:S:1:pos:R:3 pbc="T T T"
Pm 0.000 0.000 0.000
Nd 3.388 1.956 2.630
In -1.604 2.986 0.000
In 0.000 2.050 2.630
In -1.613 4.843 2.630
In 1.604 2.986 0.000
In 0.000 5.764 0.000
In 1.613 4.843 2.630
```

Output
- space group = No. 187
- ΔE to the lowest computed polymorph (eV per formula unit) = 0.44
- total energy (eV/atom) = -3.6592
- crystal system = hexagonal
- Fermi-level density of states (states/eV/f.u.) = 4.50

=====

Record 3
Below is a geometry-optimized NaTa3 structure, with properties calculated at the PBE-GGA level.

Structure (extended XYZ):
```
4
Lattice="0.000 3.346 3.346 3.346 0.000 3.346 3.346 3.346 0.000" Properties=species:S:1:pos:R:3 pbc="T T T"
Na 0.000 0.000 0.000
Ta 1.673 1.673 1.673
Ta 3.346 3.346 3.346
Ta 5.018 5.018 5.018
```

Output
- space group = No. 225
- total energy (eV/atom) = -8.4199
- crystal system = cubic
- Fermi-level density of states (states/eV/f.u.) = 4.63

=====

Record 4
Below is a geometry-optimized ZrCrTc structure, with properties calculated at the PBE-GGA level.

Structure (extended XYZ):
```
6
Lattice="-2.542 2.658 3.607 2.542 -2.658 3.607 2.542 2.658 -3.607" Properties=species:S:1:pos:R:3 pbc="T T T"
Zr 0.000 1.329 0.896
Zr 2.542 1.329 2.711
Cr 1.271 1.329 -1.803
Cr 1.271 -1.329 1.803
Tc 2.542 0.000 0.000
Tc 0.000 0.000 3.607
```

Output
- space group = No. 74
- ΔE to the lowest computed polymorph (eV per formula unit) = 0.00
- total energy (eV/atom) = -9.7248
- crystal system = orthorhombic
- Fermi-level density of states (states/eV/f.u.) = 2.57

=====

Record 5
Below is a geometry-optimized Zr2PbCl structure, with properties calculated at the PBE-GGA level.

Structure (extended XYZ):
```
4
Lattice="-1.604 2.970 4.756 1.604 -2.970 4.756 1.604 2.970 -4.756" Properties=species:S:1:pos:R:3 pbc="T T T"
Zr 0.000 0.000 2.096
Zr 0.000 0.000 7.416
Pb 0.000 2.970 0.000
Cl 1.604 0.000 0.000
```

Output
- space group = No. 71
- ΔE to the lowest computed polymorph (eV per formula unit) = 0.67
- E_form (uncorrected) (eV per formula unit) = -1.4
- total energy (eV/atom) = -6.0071
- crystal system = orthorhombic
- Fermi-level density of states (states/eV/f.u.) = 3.17

=====

Record 6
Below is a geometry-optimized Sm2AsPRh6 structure, with properties calculated at the PBE-GGA level.

Structure (extended XYZ):
```
20
Lattice="5.839 0.000 0.000 0.000 8.653 0.000 0.000 0.000 7.326" Properties=species:S:1:pos:R:3 pbc="T T T"
Sm 1.460 0.199 1.688
Sm 1.460 4.127 1.688
Sm 4.379 4.526 5.639
Sm 4.379 8.454 5.639
As 1.460 6.490 5.736
As 4.379 2.163 1.591
P 1.460 2.163 5.351
P 4.379 6.490 1.975
Rh 0.097 6.490 0.406
Rh 0.106 6.490 3.575
Rh 1.460 4.335 4.637
Rh 1.460 8.644 4.637
Rh 2.813 6.490 3.575
Rh 2.822 6.490 0.406
Rh 3.017 2.163 6.920
Rh 3.026 2.163 3.751
Rh 4.379 0.009 2.689
Rh 4.379 4.318 2.689
Rh 5.733 2.163 3.751
Rh 5.741 2.163 6.920
```

Output
- space group = No. 59
- total energy (eV/atom) = -7.0614
- crystal system = orthorhombic
- Fermi-level density of states (states/eV/f.u.) = 4.52

=====

Record 7
Below is a geometry-optimized SrYAg2 structure, with properties calculated at the PBE-GGA level.

Structure (extended XYZ):
```
4
Lattice="0.000 3.770 3.770 3.770 0.000 3.770 3.770 3.770 0.000" Properties=species:S:1:pos:R:3 pbc="T T T"
Sr 0.000 0.000 0.000
Y 3.770 3.770 3.770
Ag 1.885 1.885 1.885
Ag 5.654 5.654 5.654
```

Output
- space group = No. 225
- ΔE to the lowest computed polymorph (eV per formula unit) = 0.29
- total energy (eV/atom) = -3.6801
- crystal system = cubic
- Fermi-level density of states (states/eV/f.u.) = 3.98

=====

Record 8
Below is a geometry-optimized LiNdPb2Se4 structure, with properties calculated at the PBE-GGA level.

Structure (extended XYZ):
```
8
Lattice="7.292 0.000 0.000 0.000 4.289 0.000 -2.419 0.000 7.088" Properties=species:S:1:pos:R:3 pbc="T T T"
Li 0.000 0.000 0.000
Nd 3.646 2.144 0.000
Pb -1.209 2.144 3.544
Pb 2.436 0.000 3.544
Se 1.210 2.144 1.647
Se -0.028 0.000 5.444
Se 4.900 0.000 1.644
Se 3.663 2.144 5.442
```

Output
- space group = No. 10
- E_form (uncorrected) (eV per formula unit) = -8.6
- total energy (eV/atom) = -4.5825
- crystal system = monoclinic

=====

Record 9
Below is a geometry-optimized ZrSi2Br structure, with properties calculated at the PBE-GGA level.

Structure (extended XYZ):
```
4
Lattice="2.949 -4.160 0.000 2.949 4.160 0.000 0.000 0.000 3.069" Properties=species:S:1:pos:R:3 pbc="T T T"
Zr 0.000 0.000 0.000
Si 1.475 2.080 1.534
Si 1.475 -2.080 1.534
Br 2.949 0.000 0.000
```

Output
- space group = No. 65
- ΔE to the lowest computed polymorph (eV per formula unit) = 1.96
- E_form (uncorrected) (eV per formula unit) = 0.4
- total energy (eV/atom) = -5.1550
- crystal system = orthorhombic
- Fermi-level density of states (states/eV/f.u.) = 1.42

=====

Record 10
Below is a geometry-optimized Ni7Sb2HS2 structure, with properties calculated at the PBE-GGA level.

Structure (extended XYZ):
```
12
Lattice="-1.809 1.809 13.139 1.809 -1.809 13.139 1.809 1.809 -13.139" Properties=species:S:1:pos:R:3 pbc="T T T"
Ni 0.000 0.000 0.000
Ni 1.809 0.000 1.544
Ni 0.000 0.000 4.999
Ni 1.809 0.000 11.595
Ni 0.000 1.809 1.544
Ni 0.000 0.000 21.278
Ni 0.000 1.809 11.595
Sb 0.000 0.000 7.621
Sb 0.000 0.000 18.656
H 0.000 0.000 13.139
S 0.000 0.000 2.790
S 0.000 0.000 23.487
```

Output
- space group = No. 139
- total energy (eV/atom) = -5.0635
- crystal system = tetragonal
- Fermi-level density of states (states/eV/f.u.) = 9.60

=====

Record 11
Below is a geometry-optimized Pr11In9Rh4 structure, with properties calculated at the PBE-GGA level.

Structure (extended XYZ):
```
24
Lattice="7.517 -11.203 0.000 7.517 11.203 0.000 0.000 0.000 3.864" Properties=species:S:1:pos:R:3 pbc="T T T"
Pr 0.000 0.000 0.000
Pr 3.709 3.802 0.000
Pr 7.517 7.561 0.000
Pr 4.697 0.000 0.000
Pr 7.517 2.817 0.000
Pr 3.709 -3.802 0.000
Pr 11.325 3.802 0.000
Pr 7.517 -2.817 0.000
Pr 10.337 0.000 0.000
Pr 7.517 -7.561 0.000
Pr 11.325 -3.802 0.000
In 2.239 1.567 1.932
In 5.974 5.271 1.932
In 2.239 -1.567 1.932
In 9.060 5.271 1.932
In 7.517 0.000 1.932
In 5.974 -5.271 1.932
In 12.795 1.567 1.932
In 9.060 -5.271 1.932
In 12.795 -1.567 1.932
Rh 5.212 2.275 1.932
Rh 5.212 -2.275 1.932
Rh 9.822 2.275 1.932
Rh 9.822 -2.275 1.932
```

Output
- space group = No. 65
- total energy (eV/atom) = -5.0530
- crystal system = orthorhombic
- Fermi-level density of states (states/eV/f.u.) = 17.19

=====

Record 12
Below is a geometry-optimized BeFe2P structure, with properties calculated at the PBE-GGA level.

Structure (extended XYZ):
```
4
Lattice="-1.440 1.664 5.455 1.440 -1.664 5.455 1.440 1.664 -5.455" Properties=species:S:1:pos:R:3 pbc="T T T"
Be 0.000 0.000 0.000
Fe 0.000 0.000 3.265
Fe 0.000 0.000 7.645
P 0.000 0.000 5.455
```

Output
- space group = No. 71
- ΔE to the lowest computed polymorph (eV per formula unit) = 3.39
- total energy (eV/atom) = -6.1121
- crystal system = orthorhombic
- Fermi-level density of states (states/eV/f.u.) = 2.85

=====

Record 13
Below is a geometry-optimized RbAl3Ge structure, with properties calculated at the PBE-GGA level.

Structure (extended XYZ):
```
5
Lattice="5.738 0.000 0.000 0.000 5.738 0.000 0.000 0.000 5.738" Properties=species:S:1:pos:R:3 pbc="T T T"
Rb 0.000 0.000 0.000
Al 0.000 0.000 2.869
Al 0.000 2.869 0.000
Al 2.869 0.000 0.000
Ge 2.869 2.869 2.869
```

Output
- space group = No. 221
- ΔE to the lowest computed polymorph (eV per formula unit) = 6.30
- total energy (eV/atom) = -1.5475
- crystal system = cubic
- Fermi-level density of states (states/eV/f.u.) = 3.65

=====

Record 14
Below is a geometry-optimized GeSbMoW structure, with properties calculated at the PBE-GGA level.

Structure (extended XYZ):
```
4
Lattice="-1.599 1.599 7.641 1.599 -1.599 7.641 1.599 1.599 -7.641" Properties=species:S:1:pos:R:3 pbc="T T T"
Ge 0.000 0.000 0.000
Sb 0.000 0.000 12.403
Mo 0.000 0.000 2.981
W 0.000 0.000 9.108
```

Output
- space group = No. 107
- ΔE to the lowest computed polymorph (eV per formula unit) = 0.08
- E_form (uncorrected) (eV per formula unit) = 0.7
- total energy (eV/atom) = -7.9648
- crystal system = tetragonal
- Fermi-level density of states (states/eV/f.u.) = 2.66

=====

Record 15
Below is a geometry-optimized LiAcSi2Au structure, with properties calculated at the PBE-GGA level.

Structure (extended XYZ):
```
5
Lattice="-2.186 2.186 5.298 2.186 -2.186 5.298 2.186 2.186 -5.298" Properties=species:S:1:pos:R:3 pbc="T T T"
Li 0.000 0.000 0.000
Ac 0.000 2.186 2.649
Si 2.186 0.000 1.447
Si 2.186 0.000 3.851
Au 0.000 0.000 5.298
```

Output
- space group = No. 119
- E_form (uncorrected) (eV per formula unit) = -3.2
- total energy (eV/atom) = -4.6595
- crystal system = tetragonal
- Fermi-level density of states (states/eV/f.u.) = 1.67

=====

Record 16
Below is a geometry-optimized Ce2ZnCu2Pt5 structure, with properties calculated at the PBE-GGA level.

Structure (extended XYZ):
```
20
Lattice="9.464 0.000 0.000 0.000 9.464 0.000 0.000 0.000 3.886" Properties=species:S:1:pos:R:3 pbc="T T T"
Ce 1.673 3.059 0.000
Ce 3.059 7.791 0.000
Ce 6.405 1.673 0.000
Ce 7.791 6.405 0.000
Zn 0.000 0.000 0.000
Zn 4.732 4.732 0.000
Cu 1.152 5.884 0.000
Cu 3.580 1.152 0.000
Cu 5.884 8.312 0.000
Cu 8.312 3.580 0.000
Pt 0.000 4.732 1.943
Pt 0.627 7.537 1.943
Pt 1.926 0.627 1.943
Pt 2.805 5.359 1.943
Pt 4.105 2.805 1.943
Pt 4.732 0.000 1.943
Pt 5.359 6.658 1.943
Pt 6.658 4.105 1.943
Pt 7.537 8.837 1.943
Pt 8.837 1.926 1.943
```

Output
- space group = No. 127
- total energy (eV/atom) = -5.8636
- crystal system = tetragonal
- Fermi-level density of states (states/eV/f.u.) = 11.10

=====

Record 17
Below is a geometry-optimized CaDy2Hg structure, with properties calculated at the PBE-GGA level.

Structure (extended XYZ):
```
4
Lattice="1.848 1.067 10.837 -1.848 1.067 10.837 0.000 -2.133 10.837" Properties=species:S:1:pos:R:3 pbc="T T T"
Ca 0.000 0.000 0.000
Dy 0.000 0.000 18.576
Dy 0.000 0.000 24.765
Hg 0.000 0.000 5.408
```

Output
- space group = No. 160
- ΔE to the lowest computed polymorph (eV per formula unit) = 0.21
- total energy (eV/atom) = -2.9707
- crystal system = trigonal
- Fermi-level density of states (states/eV/f.u.) = 5.52

=====

Record 18
Below is a geometry-optimized U2MnSe5 structure, with properties calculated at the PBE-GGA level.

Structure (extended XYZ):
```
16
Lattice="7.906 0.000 0.000 0.000 11.825 0.000 0.000 0.000 3.874" Properties=species:S:1:pos:R:3 pbc="T T T"
U 0.158 2.132 0.000
U 3.795 8.045 0.000
U 4.111 3.781 0.000
U 7.748 9.693 0.000
Mn 0.000 5.913 1.937
Mn 3.953 0.000 1.937
Se 0.000 0.000 1.937
Se 1.286 4.827 0.000
Se 1.461 8.191 1.937
Se 2.492 2.279 1.937
Se 2.667 10.740 0.000
Se 3.953 5.913 1.937
Se 5.239 1.086 0.000
Se 5.414 9.547 1.937
Se 6.445 3.634 1.937
Se 6.620 6.998 0.000
```

Output
- space group = No. 55
- E_form (uncorrected) (eV per formula unit) = -7.6
- total energy (eV/atom) = -7.1009
- crystal system = orthorhombic
- Fermi-level density of states (states/eV/f.u.) = 12.53

=====

Record 19
Below is a geometry-optimized MnCdSb structure, with properties calculated at the PBE-GGA level.

Structure (extended XYZ):
```
3
Lattice="0.000 2.269 6.435 2.221 0.000 6.435 2.221 2.269 0.000" Properties=species:S:1:pos:R:3 pbc="T T T"
Mn 0.000 0.000 0.000
Cd 2.221 2.269 8.252
Sb 2.221 2.269 4.587
```

Output
- space group = No. 42
- ΔE to the lowest computed polymorph (eV per formula unit) = 0.34
- E_form (uncorrected) (eV per formula unit) = 0.7
- total energy (eV/atom) = -4.4971
- crystal system = orthorhombic
- Fermi-level density of states (states/eV/f.u.) = 2.30

=====

Record 20
Below is a geometry-optimized Y2Tl3Ag structure, with properties calculated at the PBE-GGA level.

Structure (extended XYZ):
```
6
Lattice="3.547 0.000 0.000 0.000 5.025 0.000 0.000 0.000 8.708" Properties=species:S:1:pos:R:3 pbc="T T T"
Y 0.000 0.000 0.000
Y 0.000 2.513 4.336
Tl 1.773 0.000 5.638
Tl 1.773 2.513 1.571
Tl 1.773 2.513 7.286
Ag 1.773 0.000 2.821
```

Output
- space group = No. 25
- total energy (eV/atom) = -4.0415
- crystal system = orthorhombic
- Fermi-level density of states (states/eV/f.u.) = 4.32